Here is a relaxed structure of PmPr3Ho from the Alexandria database. Energies are from PBE.

The structure in POSCAR format:
```
PmPr3Ho
1.0
-1.1759 2.2687 -7.6585
-4.8555 -4.1864 -0.4946
-3.8932 3.8105 5.9821
Pm Pr Ho
2 6 2
direct
0.0000 0.5000 0.0000
0.0000 0.0000 0.0000
0.8007 0.7501 0.6014
0.6006 0.2500 0.7996
0.1993 0.2499 0.3986
0.1990 0.2500 0.7996
0.3994 0.7500 0.2004
0.8010 0.7500 0.2004
0.3332 0.7500 0.6664
0.6668 0.2500 0.3336
```

Computed properties:
The calculation puts the formation enthalpy at 0 K at 29 kJ/mol of atoms. Its space group is Cmcm. The energy relative to the lowest polymorph listed for this composition is 0.0000 eV per atom. Its crystal system is orthorhombic.